This record from the Alexandria database describes a relaxed Zr2TlAu crystal. The functional is GGA-PBE.

Structure (POSCAR):
```
Zr2TlAu
1.0
3.2450 0.0000 0.0000
0.0000 4.2465 0.0000
0.0000 0.0000 6.1836
Zr Tl Au
2 1 1
Direct
0.0000 0.0000 0.2406 Zr
0.0000 0.0000 0.7594 Zr
0.5000 0.5000 0.5000 Tl
0.5000 0.5000 0.0000 Au
```

Calculated values
Energy of formation from the pure elements = -260.5 meV/atom
Space group = Pmmm (47)
Crystal system = orthorhombic